# 1
! LaCe2Ho3As6, relaxed, DFT PBE-GGA; values from VASP
&SYSTEM
  ibrav = 0, nat = 12, ntyp = 4
/
ATOMIC_SPECIES
La 138.91 La.upf
Ce 140.12 Ce.upf
Ho 164.93 Ho.upf
As 74.92 As.upf
CELL_PARAMETERS angstrom
7.258 0.000 0.001
-3.628 6.287 0.001
-1.211 -2.097 6.817
ATOMIC_POSITIONS crystal
La 0.000 0.000 0.000
Ce 0.333 0.667 0.000
Ce 0.667 0.333 0.000
Ho 0.165 0.835 0.500
Ho 0.835 0.165 0.500
Ho 0.500 0.500 0.500
As 0.914 0.575 0.742
As 0.747 0.747 0.259
As 0.086 0.425 0.258
As 0.575 0.914 0.742
As 0.253 0.253 0.741
As 0.425 0.086 0.258
! Calculated total energy ... -76.4 eV/cell
! Symmetry ... C2/m
! M_tot ... 0.106 μB/atom
! ΔH_f (0 K) ... -1.4976 eV/atom


# 2
! PmSnF, relaxed, DFT PBE-GGA; values from VASP
&SYSTEM
  ibrav = 0, nat = 3, ntyp = 3
/
ATOMIC_SPECIES
F 19.00 F.upf
Sn 118.71 Sn.upf
Pm 145.00 Pm.upf
CELL_PARAMETERS angstrom
5.308 0.000 0.000
0.000 3.982 0.000
0.000 -1.991 3.448
ATOMIC_POSITIONS crystal
F 0.167 0.333 0.667
Sn 0.667 0.667 0.333
Pm 0.167 0.000 0.000
! E above lowest polymorph ... 0.04 eV per formula unit
! Calculated total energy ... -16.3 eV/cell
! Symmetry ... P-6m2
! Energy relative to the elements, uncorrected ... -1.896 eV/atom
! M_tot ... 0.000 μB/atom


# 3
! Ta6NbSn2, relaxed, DFT PBE-GGA; values from VASP
&SYSTEM
  ibrav = 0, nat = 9, ntyp = 3
/
ATOMIC_SPECIES
Ta 180.95 Ta.upf
Nb 92.91 Nb.upf
Sn 118.71 Sn.upf
CELL_PARAMETERS angstrom
2.953 0.118 -0.171
-0.064 7.288 3.727
-2.500 0.306 8.329
ATOMIC_POSITIONS crystal
Ta 0.444 0.527 0.162
Ta 0.556 0.473 0.838
Ta 0.807 0.811 0.527
Ta 0.092 0.161 0.811
Ta 0.908 0.839 0.189
Ta 0.193 0.189 0.473
Nb 0.500 0.500 0.500
Sn 0.379 0.167 0.167
Sn 0.621 0.833 0.833
! Calculated total energy ... -88.9 eV/cell
! Symmetry ... P-1
! M_tot ... 0.000 μB/atom
! ΔH_f (0 K) ... 0.0377 eV/atom


# 4
! LaOsW2, relaxed, DFT PBE-GGA; values from VASP
&SYSTEM
  ibrav = 0, nat = 4, ntyp = 3
/
ATOMIC_SPECIES
La 138.91 La.upf
Os 190.23 Os.upf
W 183.84 W.upf
CELL_PARAMETERS angstrom
5.426 -0.001 -0.003
-2.427 4.999 -0.004
0.571 0.790 2.691
ATOMIC_POSITIONS crystal
La 0.000 0.500 0.500
Os 0.500 0.500 0.000
W 0.000 0.000 0.000
W 0.500 0.000 0.500
! E above lowest polymorph ... 1.33 eV per formula unit
! Calculated total energy ... -39.2 eV/cell
! Symmetry ... C2/m
! M_tot ... 0.000 μB/atom
! ΔH_f (0 K) ... 0.7248 eV/atom


# 5
! YSbW2, relaxed, DFT PBE-GGA; values from VASP
&SYSTEM
  ibrav = 0, nat = 4, ntyp = 3
/
ATOMIC_SPECIES
Sb 121.76 Sb.upf
W 183.84 W.upf
Y 88.91 Y.upf
CELL_PARAMETERS angstrom
-0.125 3.053 0.515
-2.856 -1.197 0.106
0.950 -1.475 8.976
ATOMIC_POSITIONS crystal
Sb 0.500 0.500 0.773
W 0.000 0.000 0.018
W 0.500 0.500 0.223
Y 0.000 0.000 0.486
! Calculated total energy ... -35.0 eV/cell
! Symmetry ... Cmm2
! Energy relative to the elements, uncorrected ... 0.384 eV/atom
! M_tot ... 0.000 μB/atom


# 6
! KAgSn2, relaxed, DFT PBE-GGA; values from VASP
&SYSTEM
  ibrav = 0, nat = 4, ntyp = 3
/
ATOMIC_SPECIES
K 39.10 K.upf
Sn 118.71 Sn.upf
Ag 107.87 Ag.upf
CELL_PARAMETERS angstrom
-0.562 -4.521 -1.299
3.459 -3.139 0.791
-1.644 -3.933 5.764
ATOMIC_POSITIONS crystal
K 0.500 0.500 0.500
Sn 0.288 0.288 0.135
Sn 0.712 0.712 0.865
Ag 0.000 0.000 0.000
! Calculated total energy ... -12.5 eV/cell
! Symmetry ... R-3m
! M_tot ... 0.000 μB/atom
! ΔH_f (0 K) ... -0.1468 eV/atom


# 7
! K3BaAu, relaxed, DFT PBE-GGA; values from VASP
&SYSTEM
  ibrav = 0, nat = 5, ntyp = 3
/
ATOMIC_SPECIES
K 39.10 K.upf
Au 196.97 Au.upf
Ba 137.33 Ba.upf
CELL_PARAMETERS angstrom
-6.774 3.051 -3.276
-4.476 -4.708 4.872
-0.068 5.870 5.609
ATOMIC_POSITIONS crystal
K 0.000 0.500 0.000
K 0.000 0.000 0.500
K 0.500 0.000 0.000
Au 0.500 0.500 0.500
Ba 0.000 0.000 0.000
! E above lowest polymorph ... 3.51 eV per formula unit
! Calculated total energy ... -4.9 eV/cell
! Symmetry ... Pm-3m
! M_tot ... 0.400 μB/atom
! ΔH_f (0 K) ... 0.7134 eV/atom


# 8
! CsUPdO6, relaxed, DFT PBE-GGA; values from VASP
&SYSTEM
  ibrav = 0, nat = 18, ntyp = 4
/
ATOMIC_SPECIES
Cs 132.91 Cs.upf
U 238.03 U.upf
Pd 106.42 Pd.upf
O 16.00 O.upf
CELL_PARAMETERS angstrom
7.284 0.000 0.000
0.000 7.938 0.000
-3.642 -3.969 5.382
ATOMIC_POSITIONS crystal
Cs 0.879 0.629 0.758
Cs 0.121 0.371 0.242
U 0.500 0.500 0.000
U 0.500 0.000 0.000
Pd 0.500 0.000 0.500
Pd 0.000 0.000 0.500
O 0.426 0.676 0.852
O 0.823 0.073 0.646
O 0.820 0.056 0.251
O 0.431 0.694 0.251
O 0.431 0.056 0.251
O 0.820 0.694 0.251
O 0.574 0.324 0.148
O 0.177 0.927 0.354
O 0.180 0.944 0.749
O 0.569 0.306 0.749
O 0.569 0.944 0.749
O 0.180 0.306 0.749
! Calculated total energy ... -125.9 eV/cell
! Symmetry ... Imma
! Energy relative to the elements, uncorrected ... -1.761 eV/atom
! M_tot ... 0.084 μB/atom